[1]
First-principles (PBE) data for a relaxed Nd2Ni12P7 crystal, as listed in OQMD via LeMat-Bulk.

Results
- theoretical density (g/cm³) = 7.554

Lattice parameters (Å, degrees): 9.0675 9.0675 3.7342 90.00 90.00 120.00
Last column: nearest neighbours and their distance in Å.
Element x y z (fractional)
Nd 0.0000 0.0000 0.0000  6 P 2.94, 12 Ni 3.05-3.19
Nd 0.3333 0.6667 0.5000  6 P 2.92, 9 Ni 2.98-3.12
Ni 0.0447 0.7596 0.5000  4 P 2.29-2.38
Ni 0.1012 0.3917 0.0000  4 P 2.27-2.32, 1 Ni 2.48
Ni 0.2404 0.2851 0.5000  4 P 2.29-2.38
Ni 0.2905 0.8988 0.0000  4 P 2.27-2.32, 1 Ni 2.48
Ni 0.3944 0.2085 0.0000  4 P 2.14-2.34
Ni 0.5480 0.1199 0.5000  3 P 2.27-2.51
Ni 0.5718 0.4520 0.5000  3 P 2.27-2.51
Ni 0.6083 0.7095 0.0000  4 P 2.27-2.32, 1 Ni 2.48
Ni 0.7149 0.9553 0.5000  4 P 2.29-2.38
Ni 0.7915 0.1859 0.0000  4 P 2.14-2.34
Ni 0.8141 0.6056 0.0000  4 P 2.14-2.34
Ni 0.8801 0.4282 0.5000  3 P 2.27-2.51
P 0.0683 0.6268 0.0000  5 Ni 2.22-2.30
P 0.2665 0.0363 0.5000  7 Ni 2.27-2.38
P 0.3732 0.4415 0.0000  5 Ni 2.22-2.30
P 0.5585 0.9317 0.0000  5 Ni 2.22-2.30
P 0.6667 0.3333 0.0000  3 Ni 2.14
P 0.7698 0.7335 0.5000  7 Ni 2.27-2.38
P 0.9637 0.2302 0.5000  7 Ni 2.27-2.38

---

[2]
First-principles (PBE) data for a relaxed DyGeTeAuSe2 crystal, as listed in OQMD via LeMat-Bulk.

Results
- theoretical density (g/cm³) = 7.760

Lattice parameters (Å, degrees): 7.2102 7.2102 11.1011 90.00 90.00 147.85
Last column: nearest neighbours and their distance in Å.
Element x y z (fractional)
Dy 0.0000 0.0000 0.0000  4 Se 2.90, 2 Te 3.18
Dy 0.0000 0.0000 0.5000  4 Se 2.90, 2 Te 3.18
Ge 0.1849 0.8151 0.7500  2 Au 2.95, 4 Se 2.95
Ge 0.8151 0.1849 0.2500  2 Au 2.95, 4 Se 2.95
Te 0.1120 0.8880 0.2500  2 Au 2.79
Te 0.8880 0.1120 0.7500  2 Au 2.79
Au 0.4716 0.5284 0.2500  2 Se 2.64, 2 Te 2.79, 2 Ge 2.95
Au 0.5284 0.4716 0.7500  2 Se 2.64, 2 Te 2.79, 2 Ge 2.95
Se 0.3559 0.6441 0.0605  1 Au 2.64, 2 Dy 2.90, 2 Ge 2.95
Se 0.3559 0.6441 0.4395  1 Au 2.64, 2 Dy 2.90, 2 Ge 2.95
Se 0.6441 0.3559 0.5605  1 Au 2.64, 2 Dy 2.90, 2 Ge 2.95
Se 0.6441 0.3559 0.9395  1 Au 2.64, 2 Dy 2.90, 2 Ge 2.95

---

[3]
First-principles (PBE) data for a relaxed NaTcHgOs crystal, as listed in OQMD via LeMat-Bulk.

Results
- theoretical density (g/cm³) = 12.866

Lattice parameters (Å, degrees): 4.5374 4.5374 4.5374 60.00 60.00 60.00
Last column: nearest neighbours and their distance in Å.
Element x y z (fractional)
Na 0.0000 0.0000 0.0000  4 Hg 2.78, 4 Tc 2.78
Tc 0.2500 0.2500 0.2500  4 Na 2.78, 4 Os 2.78
Hg 0.7500 0.7500 0.7500  4 Os 2.78, 4 Na 2.78
Os 0.5000 0.5000 0.5000  4 Hg 2.78, 4 Tc 2.78

---

[4]
First-principles (PBE) data for a relaxed ThMoPt crystal, as listed in OQMD via LeMat-Bulk.

Results
- DFT formation energy (eV per atom) = 0.152
- theoretical density (g/cm³) = 12.841

Lattice parameters (Å, degrees): 4.5734 4.5734 4.5734 60.00 60.00 60.00
Last column: nearest neighbours and their distance in Å.
Element x y z (fractional)
Th 0.0000 0.0000 0.0000  4 Mo 2.80
Mo 0.7500 0.7500 0.7500  4 Th 2.80, 4 Pt 2.80
Pt 0.5000 0.5000 0.5000  4 Mo 2.80

---

no.,total moment (μB per cell),calculated volume (Å³/atom),total DFT energy (no corrections) (eV per atom)
1,0.01,12.66,-6.188
2,0.00,25.59,-4.460
3,0.01,16.51,-5.045
4,0.01,22.55,-7.954